No. 1
A plane-wave DFT calculation with GGA-PBE was carried out for crystalline La2Al4Hg3Au at its relaxed geometry.

The structure belongs to space group P-4m2 (No. 115); the cell edges are 4.5220, 4.5220 and 11.0258 Å and the angles 90.00°, 90.00° and 90.00°. The inequivalent atoms are La at (0.0000, 0.5000, 0.2445), Al at (0.0000, 0.0000, 0.5000), Al at (0.0000, 0.5000, 0.8739), Al at (0.5000, 0.5000, 0.5000), Hg at (0.0000, 0.0000, 0.0000), Hg at (0.0000, 0.5000, 0.6378) and Au at (0.5000, 0.5000, 0.0000).

The total energy is -33.60 eV/cell. The calculation puts the energy of formation at -460 meV per atom.



No. 2
A plane-wave DFT calculation with GGA-PBE was carried out for crystalline LaAlHgAu at its relaxed geometry.

The structure belongs to space group F-43m (No. 216); the cell edges are 7.2094, 7.2094 and 7.2094 Å and the angles 90.00°, 90.00° and 90.00°. The inequivalent atoms are La at (0.0000, 0.0000, 0.0000), Al at (0.0000, 0.0000, 0.5000), Hg at (0.2500, 0.2500, 0.7500) and Au at (0.2500, 0.2500, 0.2500).

The total energy is -57.09 eV/cell. The calculation puts the energy of formation at -506 meV per atom.



No. 3
A plane-wave DFT calculation with GGA-PBE was carried out for crystalline La2Al4HgAu3 at its relaxed geometry.

The structure belongs to space group P-4m2 (No. 115); the cell edges are 4.4947, 4.4947 and 10.6424 Å and the angles 90.00°, 90.00° and 90.00°. The inequivalent atoms are La at (0.0000, 0.5000, 0.2483), Al at (0.0000, 0.0000, 0.0000), Al at (0.0000, 0.5000, 0.6394), Al at (0.5000, 0.5000, 0.0000), Hg at (0.0000, 0.0000, 0.5000), Au at (0.0000, 0.5000, 0.8759) and Au at (0.5000, 0.5000, 0.5000).

The total energy is -41.80 eV/cell. The calculation puts the energy of formation at -684 meV per atom.



No. 4
A plane-wave DFT calculation with GGA-PBE was carried out for crystalline LuAlHgAu at its relaxed geometry.

The structure belongs to space group F-43m (No. 216); the cell edges are 6.8741, 6.8741 and 6.8741 Å and the angles 90.00°, 90.00° and 90.00°. The inequivalent atoms are Lu at (0.0000, 0.0000, 0.0000), Al at (0.0000, 0.0000, 0.5000), Hg at (0.2500, 0.2500, 0.7500) and Au at (0.2500, 0.2500, 0.2500).

The total energy is -55.00 eV/cell. The calculation puts the energy of formation at -477 meV per atom.



No. 5
A plane-wave DFT calculation with GGA-PBE was carried out for crystalline MgAlHgAu2 at its relaxed geometry.

The structure belongs to space group P4/mmm (No. 123); the cell edges are 5.2720, 5.2720 and 4.8410 Å and the angles 90.00°, 90.00° and 90.00°. The inequivalent atoms are Mg at (0.0000, 0.0000, 0.0000), Al at (0.5000, 0.5000, 0.0000), Hg at (0.5000, 0.5000, 0.5000) and Au at (0.0000, 0.5000, 0.5000).

The total energy is -9.69 eV/cell. The calculation puts the energy of formation at 500 meV per atom.



No. 6
A plane-wave DFT calculation with GGA-PBE was carried out for crystalline MgAlHgAu at its relaxed geometry.

The structure belongs to space group F-43m (No. 216); the cell edges are 6.6910, 6.6910 and 6.6910 Å and the angles 90.00°, 90.00° and 90.00°. The inequivalent atoms are Mg at (0.0000, 0.0000, 0.0000), Al at (0.0000, 0.0000, 0.5000), Hg at (0.2500, 0.2500, 0.2500) and Au at (0.2500, 0.2500, 0.7500).

The total energy is -38.85 eV/cell. The calculation puts the energy of formation at -199 meV per atom.



No. 7
A plane-wave DFT calculation with GGA-PBE was carried out for crystalline Na2AlHgAu at its relaxed geometry.

The structure belongs to space group P4/mmm (No. 123); the cell edges are 5.9161, 5.9161 and 4.7431 Å and the angles 90.00°, 90.00° and 90.00°. The inequivalent atoms are Na at (0.0000, 0.5000, 0.0000), Al at (0.0000, 0.0000, 0.0000), Hg at (0.5000, 0.5000, 0.5000) and Au at (0.0000, 0.0000, 0.5000).

The total energy is -9.46 eV/cell. The calculation puts the energy of formation at 100 meV per atom.



No. 8
A plane-wave DFT calculation with GGA-PBE was carried out for crystalline Na2Al2HgAu5 at its relaxed geometry.

The structure belongs to space group P4/mbm (No. 127); the cell edges are 11.1703, 11.1703 and 3.2661 Å and the angles 90.00°, 90.00° and 90.00°. The inequivalent atoms are Na at (0.1722, 0.3278, 0.0000), Al at (0.1294, 0.6294, 0.0000), Hg at (0.0000, 0.0000, 0.0000), Au at (0.0000, 0.5000, 0.5000) and Au at (0.0692, 0.7970, 0.5000).

The total energy is -59.61 eV/cell. The calculation puts the energy of formation at -299 meV per atom.



No. 9
A plane-wave DFT calculation with GGA-PBE was carried out for crystalline NaAlHgAu at its relaxed geometry.

The structure belongs to space group F-43m (No. 216); the cell edges are 6.8068, 6.8068 and 6.8068 Å and the angles 90.00°, 90.00° and 90.00°. The inequivalent atoms are Na at (0.0000, 0.0000, 0.0000), Al at (0.0000, 0.0000, 0.5000), Hg at (0.2500, 0.2500, 0.2500) and Au at (0.2500, 0.2500, 0.7500).

The total energy is -37.02 eV/cell. The calculation puts the energy of formation at -154 meV per atom.



No. 10
A plane-wave DFT calculation with GGA-PBE was carried out for crystalline Nd2Al3HgAu4 at its relaxed geometry.

The structure belongs to space group P-4m2 (No. 115); the cell edges are 4.4506, 4.4506 and 10.8510 Å and the angles 90.00°, 90.00° and 90.00°. The inequivalent atoms are Nd at (0.0000, 0.5000, 0.2450), Al at (0.0000, 0.5000, 0.8781), Al at (0.5000, 0.5000, 0.5000), Hg at (0.0000, 0.0000, 0.5000), Au at (0.0000, 0.0000, 0.0000), Au at (0.0000, 0.5000, 0.6511) and Au at (0.5000, 0.5000, 0.0000).

The total energy is -40.35 eV/cell. The calculation puts the energy of formation at -617 meV per atom.



No. 11
A plane-wave DFT calculation with GGA-PBE was carried out for crystalline Nd2Al4HgAu3 at its relaxed geometry.

The structure belongs to space group P-4m2 (No. 115); the cell edges are 4.4382, 4.4382 and 10.6284 Å and the angles 90.00°, 90.00° and 90.00°. The inequivalent atoms are Nd at (0.0000, 0.5000, 0.2476), Al at (0.0000, 0.0000, 0.0000), Al at (0.0000, 0.5000, 0.6404), Al at (0.5000, 0.5000, 0.0000), Hg at (0.0000, 0.0000, 0.5000), Au at (0.0000, 0.5000, 0.8745) and Au at (0.5000, 0.5000, 0.5000).

The total energy is -41.21 eV/cell. The calculation puts the energy of formation at -657 meV per atom.



No. 12
A plane-wave DFT calculation with GGA-PBE was carried out for crystalline AlHgAu2O6 at its relaxed geometry.

The structure belongs to space group C2/c (No. 15); the cell edges are 11.6654, 7.4983 and 7.1900 Å and the angles 90.00°, 113.16° and 90.00°. The inequivalent atoms are Al at (0.0000, 0.1784, 0.2500), Hg at (0.0000, 0.2358, 0.7500), Au at (0.2011, 0.4556, 0.5849), O at (0.0343, 0.3303, 0.4558), O at (0.1141, 0.0141, 0.2573) and O at (0.1924, 0.3857, 0.8488).

The total energy is -186.35 eV/cell.